Entry from Alexandria via LeMat-Bulk: crystalline Sm3Y2Co2 at its relaxed geometry (PBE).

Cell: 3.756 6.322 8.514 Å, 100.12 102.74 107.30°
Fractional positions:
Sm  0.500  0.000  0.000
Sm  0.190  0.807  0.574
Sm  0.810  0.193  0.426
Y  0.634  0.460  0.807
Y  0.366  0.540  0.193
Co  0.062  0.881  0.243
Co  0.938  0.119  0.757

Properties
The value obtained for the calculated formation energy is -0.111 eV/atom. Its symmetry is C2/m. Its final energy is -6.01 eV per atom.